Record 1
SiSe2 after structural relaxation, computed with GGA-PBE.

The structure belongs to space group P6_3/mmc (No. 194); the cell edges are 5.6877, 5.6877 and 11.6570 Å and the angles 90.00°, 90.00° and 120.00°. The asymmetric unit holds Si at (0.3333, 0.6667, 0.0877), Se at (0.0000, 0.0000, 0.0000) and Se at (0.1632, 0.3264, 0.2500).

As for the total DFT energy (no corrections): -3.634 eV/atom. Its crystal system is hexagonal.

=====

Record 2
Si4Se after structural relaxation, computed with GGA-PBE.

The structure belongs to space group Im-3m (No. 229); the cell edges are 5.9127, 5.9127 and 5.9127 Å and the angles 90.00°, 90.00° and 90.00°. The asymmetric unit holds Si at (0.2500, 0.2500, 0.2500) and Se at (0.0000, 0.0000, 0.0000).

As for the total DFT energy (no corrections): -4.108 eV/atom. Its crystal system is cubic.

=====

Record 3
Si4Se after structural relaxation, computed with GGA-PBE.

The structure belongs to space group C2/m (No. 12); the cell edges are 7.4388, 4.4170 and 6.1970 Å and the angles 90.00°, 90.86° and 90.00°. The asymmetric unit holds Si at (0.1622, 0.0000, 0.0739), Si at (0.1665, 0.0000, 0.4563) and Se at (0.0000, 0.5000, 0.0000).

As for the total DFT energy (no corrections): -4.622 eV/atom. Its crystal system is monoclinic.

=====

Record 4
SiSe2 after structural relaxation, computed with GGA-PBE.

The structure belongs to space group I4/mcm (No. 140); the cell edges are 6.0946, 6.0946 and 6.8118 Å and the angles 90.00°, 90.00° and 90.00°. The asymmetric unit holds Si at (0.0000, 0.0000, 0.2500) and Se at (0.1423, 0.3577, 0.0000).

As for the total DFT energy (no corrections): -3.900 eV/atom. Its crystal system is tetragonal.

=====

Record 5
SiSe4 after structural relaxation, computed with GGA-PBE.

The structure belongs to space group C2/m (No. 12); the cell edges are 6.3334, 3.5447 and 12.0571 Å and the angles 90.00°, 93.88° and 90.00°. The asymmetric unit holds Si at (0.0000, 0.0000, 0.0000), Se at (0.1816, 0.5000, 0.1178) and Se at (0.2409, 0.5000, 0.4335).

As for the total DFT energy (no corrections): -3.918 eV/atom. Its crystal system is monoclinic.

=====

Record 6
Si3Se4 after structural relaxation, computed with GGA-PBE.

The structure belongs to space group I4/mmm (No. 139); the cell edges are 3.5373, 3.5373 and 25.4831 Å and the angles 90.00°, 90.00° and 90.00°. The asymmetric unit holds Si at (0.0000, 0.0000, 0.0000), Si at (0.0000, 0.0000, 0.3498), Se at (0.0000, 0.0000, 0.1773) and Se at (0.0000, 0.0000, 0.4409).

As for the total DFT energy (no corrections): -4.269 eV/atom. Its crystal system is tetragonal.

=====

Record 7
Si4Se after structural relaxation, computed with GGA-PBE.

The structure belongs to space group I4/mmm (No. 139); the cell edges are 7.0112, 7.0112 and 3.4395 Å and the angles 90.00°, 90.00° and 90.00°. The asymmetric unit holds Si at (0.0000, 0.3035, 0.0000) and Se at (0.0000, 0.0000, 0.5000).

As for the total DFT energy (no corrections): -4.540 eV/atom. Its crystal system is tetragonal.

=====

Record 8
SiSe2 after structural relaxation, computed with GGA-PBE.

The structure belongs to space group Fd-3m (No. 227, origin choice 2); the cell edges are 7.9745, 7.9745 and 7.9745 Å and the angles 90.00°, 90.00° and 90.00°. The asymmetric unit holds Si at (0.1250, 0.1250, 0.1250) and Se at (0.0000, 0.0000, 0.5000).

As for the total DFT energy (no corrections): -3.209 eV/atom. Its crystal system is cubic.

=====

Record 9
SiSe2 after structural relaxation, computed with GGA-PBE.

The structure belongs to space group P6_3/mmc (No. 194); the cell edges are 3.5094, 3.5094 and 14.8830 Å and the angles 90.00°, 90.00° and 120.00°. The asymmetric unit holds Si at (0.0000, 0.0000, 0.0000) and Se at (0.3333, 0.6667, 0.0967).

As for the total DFT energy (no corrections): -4.461 eV/atom. Its crystal system is hexagonal.

=====

Record 10
SiSe2 after structural relaxation, computed with GGA-PBE.

The structure belongs to space group P4/mmm (No. 123); the cell edges are 3.6062, 3.6062 and 4.9919 Å and the angles 90.00°, 90.00° and 90.00°. The asymmetric unit holds Si at (0.0000, 0.0000, 0.0000), Se at (0.0000, 0.0000, 0.5000) and Se at (0.5000, 0.5000, 0.0000).

As for the total DFT energy (no corrections): -3.904 eV/atom. Its crystal system is tetragonal.

=====

Record 11
Si3Se5 after structural relaxation, computed with GGA-PBE.

The structure belongs to space group P6_3/mcm (No. 193); the cell edges are 8.7687, 8.7687 and 5.2867 Å and the angles 90.00°, 90.00° and 120.00°. The asymmetric unit holds Si at (0.0000, 0.2978, 0.2500), Se at (0.0000, 0.2636, 0.7500) and Se at (0.3333, 0.6667, 0.0000).

As for the total DFT energy (no corrections): -3.956 eV/atom. Its crystal system is hexagonal.

=====

Record 12
SiSe4 after structural relaxation, computed with GGA-PBE.

The structure belongs to space group I4/mmm (No. 139); the cell edges are 5.3978, 5.3978 and 8.8506 Å and the angles 90.00°, 90.00° and 90.00°. The asymmetric unit holds Si at (0.0000, 0.0000, 0.0000), Se at (0.0000, 0.0000, 0.2977) and Se at (0.0000, 0.5000, 0.2500).

As for the total DFT energy (no corrections): -3.384 eV/atom. Its crystal system is tetragonal.

=====

Record 13
SiSe2 after structural relaxation, computed with GGA-PBE.

The structure belongs to space group I4/mmm (No. 139); the cell edges are 3.1104, 3.1104 and 14.0335 Å and the angles 90.00°, 90.00° and 90.00°. The asymmetric unit holds Si at (0.0000, 0.0000, 0.0000) and Se at (0.0000, 0.0000, 0.3798).

As for the total DFT energy (no corrections): -3.732 eV/atom. Its crystal system is tetragonal.

=====

Record 14
SiSe3 after structural relaxation, computed with GGA-PBE.

The structure belongs to space group Fm-3m (No. 225); the cell edges are 6.7760, 6.7760 and 6.7760 Å and the angles 90.00°, 90.00° and 90.00°. The asymmetric unit holds Si at (0.0000, 0.0000, 0.0000), Se at (0.0000, 0.0000, 0.5000) and Se at (0.2500, 0.2500, 0.2500).

As for the total DFT energy (no corrections): -3.403 eV/atom. Its crystal system is cubic.

=====

Record 15
SiSe2 after structural relaxation, computed with GGA-PBE.

The structure belongs to space group I4_1/amd (No. 141, origin choice 2); the cell edges are 3.3024, 3.3024 and 55.6200 Å and the angles 90.00°, 90.00° and 90.00°. The asymmetric unit holds Si at (0.0000, 0.2500, 0.3089), Se at (0.0000, 0.2500, 0.0910) and Se at (0.0000, 0.2500, 0.7872).

As for the total DFT energy (no corrections): -4.054 eV/atom. Its crystal system is tetragonal.

=====

Record 16
Si3Se5 after structural relaxation, computed with GGA-PBE.

The structure belongs to space group Cm (No. 8); the cell edges are 6.2803, 16.8021 and 9.2571 Å and the angles 90.00°, 108.41° and 90.00°. The asymmetric unit holds Si at (0.0000, 0.0000, 0.0000), Si at (0.0007, 0.5000, 0.2119), Si at (0.1137, 0.1834, 0.0606), Si at (0.2380, 0.4046, 0.6643), Se at (0.0605, 0.2960, 0.6002), Se at (0.0899, 0.5000, 0.7926), Se at (0.1225, 0.1071, 0.8464), Se at (0.2486, 0.3119, 0.0755), Se at (0.2711, 0.1053, 0.2708) and Se at (0.3140, 0.5000, 0.4896).

As for the total DFT energy (no corrections): -4.345 eV/atom. Its crystal system is monoclinic.

=====

Record 17
Si5Se7 after structural relaxation, computed with GGA-PBE.

The structure belongs to space group I4mm (No. 107); the cell edges are 9.6519, 9.6519 and 8.1082 Å and the angles 90.00°, 90.00° and 90.00°. The asymmetric unit holds Si at (0.0000, 0.0000, 0.0000), Si at (0.1614, 0.1614, 0.1475), Se at (0.0000, 0.0000, 0.7329), Se at (0.0000, 0.2571, 0.3424) and Se at (0.0000, 0.5000, 0.2236).

As for the total DFT energy (no corrections): -4.020 eV/atom. Its crystal system is tetragonal.

=====

Record 18
SiSe3 after structural relaxation, computed with GGA-PBE.

The structure belongs to space group Immm (No. 71); the cell edges are 3.3772, 4.9096 and 10.7422 Å and the angles 90.00°, 90.00° and 90.00°. The asymmetric unit holds Si at (0.0000, 0.0000, 0.0000), Se at (0.0000, 0.0000, 0.5000) and Se at (0.0000, 0.5000, 0.3359).

As for the total DFT energy (no corrections): -3.672 eV/atom. Its crystal system is orthorhombic.

=====

Record 19
SiSe4 after structural relaxation, computed with GGA-PBE.

The structure belongs to space group I4/m (No. 87); the cell edges are 8.5422, 8.5422 and 3.2997 Å and the angles 90.00°, 90.00° and 90.00°. The asymmetric unit holds Si at (0.0000, 0.0000, 0.0000) and Se at (0.1343, 0.2245, 0.5000).

As for the total DFT energy (no corrections): -3.559 eV/atom. Its crystal system is tetragonal.

=====

Record 20
Si5Se4 after structural relaxation, computed with GGA-PBE.

The structure belongs to space group I4/mmm (No. 139); the cell edges are 10.5655, 10.5655 and 3.3651 Å and the angles 90.00°, 90.00° and 90.00°. The asymmetric unit holds Si at (0.0000, 0.0000, 0.0000), Si at (0.1841, 0.1841, 0.5000) and Se at (0.0000, 0.2513, 0.0000).

As for the total DFT energy (no corrections): -4.301 eV/atom. Its crystal system is tetragonal.